1.
{"formula": "CeMgAgPb", "functional": "GGA-PBE", "state": "optimized geometry", "e_form_ev_per_fu": -0.99, "m_tot_mub_per_atom": 0.254, "lattice": [[5.2225, 0.0000, 0.0000], [2.6112, 4.5228, 0.0000], [2.6112, 1.5076, 4.2641]], "species": ["Ag", "Pb", "Ce", "Mg"], "fractional_positions": [[0.2500, 0.2500, 0.2500], [0.7500, 0.7500, 0.7500], [0.0000, 0.0000, 0.0000], [0.5000, 0.5000, 0.5000]]}



2.
{"formula": "CeMg2Ag2Pb2", "functional": "GGA-PBE", "state": "optimized geometry", "e_form_ev_per_fu": -1.46, "m_tot_mub_per_atom": 0.119, "lattice": [[-0.9874, -2.6942, 3.7740], [2.2117, -4.1513, 0.5930], [6.6315, 1.6695, 5.9048]], "species": ["Ag", "Ag", "Pb", "Pb", "Ce", "Mg", "Mg"], "fractional_positions": [[0.4442, 0.4442, 0.6674], [0.5558, 0.5558, 0.3326], [0.2661, 0.2661, 0.2017], [0.7339, 0.7339, 0.7983], [0.0000, 0.0000, 0.0000], [0.8611, 0.8611, 0.4166], [0.1389, 0.1389, 0.5834]]}



3.
{"formula": "CePrMgAg", "functional": "GGA-PBE", "state": "optimized geometry", "e_form_ev_per_fu": -0.06, "m_tot_mub_per_atom": 0.390, "lattice": [[5.4059, 0.0000, 0.0000], [2.7030, 4.6817, 0.0000], [2.7030, 1.5606, 4.4139]], "species": ["Ag", "Ce", "Mg", "Pr"], "fractional_positions": [[0.7500, 0.7500, 0.7500], [0.5000, 0.5000, 0.5000], [0.2500, 0.2500, 0.2500], [0.0000, 0.0000, 0.0000]]}



4.
{"formula": "CeMgAgPt", "functional": "GGA-PBE", "state": "optimized geometry", "e_form_ev_per_fu": -2.21, "m_tot_mub_per_atom": 0.114, "lattice": [[-3.7115, -0.2339, -3.2244], [-0.8183, -4.1520, -2.5136], [-3.9616, -2.7436, 1.0024]], "species": ["Mg", "Ce", "Pt", "Ag"], "fractional_positions": [[0.5000, 0.5000, 0.5000], [0.0000, 0.0000, 0.0000], [0.7500, 0.7500, 0.7500], [0.2500, 0.2500, 0.2500]]}



5.
{"formula": "CeMgAgRh", "functional": "GGA-PBE", "state": "optimized geometry", "e_form_ev_per_fu": -1.33, "m_tot_mub_per_atom": 0.118, "lattice": [[-0.6957, 3.2238, 3.5937], [-4.4002, 1.9962, 0.6677], [-2.6691, -1.2267, 3.8939]], "species": ["Ce", "Rh", "Mg", "Ag"], "fractional_positions": [[0.7500, 0.7500, 0.7500], [0.5000, 0.5000, 0.5000], [0.2500, 0.2500, 0.2500], [0.0000, 0.0000, 0.0000]]}



6.
{"formula": "CeMgAgRu", "functional": "GGA-PBE", "state": "optimized geometry", "e_form_ev_per_fu": -0.34, "m_tot_mub_per_atom": 0.011, "lattice": [[4.8408, 0.0000, 0.0000], [2.4204, 4.1922, 0.0000], [2.4204, 1.3974, 3.9525]], "species": ["Ag", "Mg", "Ru", "Ce"], "fractional_positions": [[0.2500, 0.2500, 0.2500], [0.0000, 0.0000, 0.0000], [0.7500, 0.7500, 0.7500], [0.5000, 0.5000, 0.5000]]}



7.
{"formula": "CeMg2AgRu", "functional": "GGA-PBE", "state": "optimized geometry", "e_form_ev_per_fu": -0.02, "m_tot_mub_per_atom": 0.051, "lattice": [[5.0896, 0.0000, 0.0000], [0.0000, 5.0897, 0.0000], [0.0000, 0.0002, 5.1011]], "species": ["Ag", "Mg", "Mg", "Ru", "Ce"], "fractional_positions": [[0.5000, 0.5000, 0.6298], [0.5000, 0.0000, 0.9478], [0.0000, 0.5000, 0.9478], [0.0000, 0.0000, 0.0152], [0.0000, 0.0000, 0.4594]]}



8.
{"formula": "CeMgAg2Se4", "functional": "GGA-PBE", "state": "optimized geometry", "raw_formation_energy_mev_per_atom": -839, "m_tot_mub_per_atom": 0.088, "lattice": [[7.3199, 0.0000, 0.0000], [3.6599, 5.2129, -0.1740], [3.6599, 0.2538, 5.2096]], "species": ["Se", "Se", "Se", "Se", "Mg", "Ag", "Ag", "Ce"], "fractional_positions": [[0.9140, 0.4846, 0.0860], [0.5153, 0.0860, 0.4846], [0.4847, 0.5154, 0.9140], [0.0860, 0.9140, 0.5154], [0.5000, 0.5000, 0.5000], [0.7523, 0.7477, 0.7477], [0.2477, 0.2523, 0.2523], [0.0000, 0.0000, 0.0000]]}



Number 1: total DFT energy (no corrections) -3.77 eV per atom. Number 2: total DFT energy (no corrections) -3.39 eV per atom. Number 3: total DFT energy (no corrections) -3.81 eV per atom. Number 4: total DFT energy (no corrections) -4.66 eV per atom. Number 5: total DFT energy (no corrections) -4.77 eV per atom. Number 6: total DFT energy (no corrections) -5.00 eV per atom. Number 7: total DFT energy (no corrections) -4.25 eV per atom. Number 8: total DFT energy (no corrections) -4.23 eV per atom.